(1)
VASP calculation (PBE) on a geometry-optimized GdDyMg structure.

The value obtained for the relative energy among the computed polymorphs is 481 meV per atom. The space group is F-43m (216).

The structure in POSCAR format:
```
GdDyMg
1.0
7.412 0.000 0.000
0.000 7.412 0.000
0.000 0.000 7.412
Gd Dy Mg
4 4 4
direct
0.000 0.000 0.000
0.000 0.500 0.500
0.500 0.000 0.500
0.500 0.500 0.000
0.000 0.000 0.500
0.000 0.500 0.000
0.500 0.000 0.000
0.500 0.500 0.500
0.250 0.250 0.750
0.250 0.750 0.250
0.750 0.250 0.250
0.750 0.750 0.750
```

=====

(2)
VASP calculation (PBE) on a geometry-optimized GdDyMg2 structure.

The total DFT energy (no corrections) comes out at -3.17 eV/atom. The space group is Pmm2 (25).

The structure in POSCAR format:
```
GdDyMg2
1.0
3.782 0.000 0.000
0.000 5.383 0.000
0.000 0.000 5.383
Gd Dy Mg
1 1 2
direct
0.000 0.000 0.000
0.000 0.500 0.496
0.500 0.000 0.501
0.500 0.500 0.996
```

=====

(3)
VASP calculation (PBE) on a geometry-optimized GdDyMg3Pd2 structure.

The total DFT energy (no corrections) comes out at -3.98 eV/atom. The space group is Amm2 (38).

The structure in POSCAR format:
```
GdDyMg3Pd2
1.0
3.649 0.000 0.000
0.000 4.228 0.000
0.000 0.000 21.169
Gd Dy Mg Pd
2 2 6 4
direct
0.000 0.000 0.000
0.000 0.500 0.500
0.000 0.000 0.656
0.000 0.500 0.156
0.000 0.000 0.828
0.000 0.500 0.328
0.500 0.000 0.253
0.500 0.000 0.403
0.500 0.500 0.753
0.500 0.500 0.903
0.500 0.000 0.123
0.500 0.000 0.534
0.500 0.500 0.034
0.500 0.500 0.623
```

=====

(4)
VASP calculation (PBE) on a geometry-optimized Gd2DyMg3Pt3 structure.

The total DFT energy (no corrections) comes out at -5.04 eV/atom. The space group is Amm2 (38).

The structure in POSCAR format:
```
Gd2DyMg3Pt3
1.0
4.078 0.000 0.000
0.000 6.395 3.695
0.000 -6.395 3.695
Gd Dy Mg Pt
2 1 3 3
direct
0.000 0.205 0.795
0.000 0.795 0.205
0.000 0.385 0.385
0.500 0.040 0.040
0.500 0.550 0.794
0.500 0.794 0.550
0.000 0.793 0.793
0.500 0.130 0.461
0.500 0.461 0.130
```

=====

(5)
VASP calculation (PBE) on a geometry-optimized GdDy2Mg4Tl2 structure.

The total DFT energy (no corrections) comes out at -3.00 eV/atom. The space group is Amm2 (38).

The structure in POSCAR format:
```
GdDy2Mg4Tl2
1.0
4.647 0.000 0.000
0.000 6.594 3.793
0.000 -6.594 3.793
Gd Dy Mg Tl
1 2 4 2
direct
0.000 0.000 0.000
0.000 0.131 0.566
0.000 0.566 0.131
0.000 0.564 0.564
0.500 0.322 0.322
0.500 0.565 0.808
0.500 0.808 0.565
0.500 0.233 0.899
0.500 0.899 0.233
```

=====

(6)
VASP calculation (PBE) on a geometry-optimized GdDy2Mg3Tl2Zn structure.

The total DFT energy (no corrections) comes out at -3.05 eV/atom. The space group is Amm2 (38).

The structure in POSCAR format:
```
GdDy2Mg3Tl2Zn
1.0
4.575 0.000 0.000
0.000 6.513 3.747
0.000 -6.513 3.747
Gd Dy Mg Tl Zn
1 2 3 2 1
direct
0.000 0.000 0.000
0.000 0.173 0.586
0.000 0.586 0.173
0.500 0.349 0.349
0.500 0.586 0.821
0.500 0.821 0.586
0.500 0.254 0.919
0.500 0.919 0.254
0.000 0.583 0.583
```

=====

(7)
VASP calculation (PBE) on a geometry-optimized Gd2DyTmMg2 structure.

The total DFT energy (no corrections) comes out at -3.64 eV/atom. The space group is Amm2 (38).

The structure in POSCAR format:
```
Gd2DyTmMg2
1.0
5.488 0.000 0.000
0.000 3.619 0.000
0.000 0.000 17.348
Gd Dy Tm Mg
4 2 2 4
direct
0.000 0.000 0.000
0.000 0.500 0.500
0.500 0.000 0.192
0.500 0.500 0.692
0.000 0.000 0.321
0.000 0.500 0.821
0.500 0.000 0.870
0.500 0.500 0.370
0.000 0.000 0.659
0.000 0.500 0.159
0.500 0.000 0.532
0.500 0.500 0.032
```

=====

(8)
VASP calculation (PBE) on a geometry-optimized GdDy2TmMg2 structure.

The total DFT energy (no corrections) comes out at -3.63 eV/atom. The space group is Amm2 (38).

The structure in POSCAR format:
```
GdDy2TmMg2
1.0
5.464 0.000 0.000
0.000 3.656 0.000
0.000 0.000 17.206
Gd Dy Tm Mg
2 4 2 4
direct
0.000 0.000 0.000
0.000 0.500 0.500
0.000 0.000 0.680
0.000 0.500 0.180
0.500 0.000 0.867
0.500 0.500 0.367
0.500 0.000 0.547
0.500 0.500 0.047
0.000 0.000 0.338
0.000 0.500 0.838
0.500 0.000 0.208
0.500 0.500 0.708
```

=====

(9)
VASP calculation (PBE) on a geometry-optimized Gd2DyN3 structure.

The total DFT energy (no corrections) comes out at -8.12 eV/atom. The space group is P-3m1 (164).

The structure in POSCAR format:
```
Gd2DyN3
1.0
3.491 0.000 0.000
-1.746 3.023 0.000
0.000 0.000 8.546
Gd Dy N
2 1 3
direct
0.333 0.667 0.332
0.667 0.333 0.668
0.000 0.000 0.000
0.000 0.000 0.500
0.333 0.667 0.836
0.667 0.333 0.164
```

=====

(10)
VASP calculation (PBE) on a geometry-optimized Gd3DyPb2N2 structure.

The total DFT energy (no corrections) comes out at -6.41 eV/atom. The space group is P3m1 (156).

The structure in POSCAR format:
```
Gd3DyPb2N2
1.0
3.575 0.000 0.000
-1.787 3.096 0.000
0.000 0.000 15.787
Gd Dy Pb N
3 1 2 2
direct
0.000 0.000 0.000
0.000 0.000 0.333
0.667 0.333 0.832
0.667 0.333 0.499
0.000 0.000 0.665
0.667 0.333 0.167
0.333 0.667 0.419
0.333 0.667 0.916
```

=====

(11)
VASP calculation (PBE) on a geometry-optimized GdDy3Pb2N2 structure.

The total DFT energy (no corrections) comes out at -6.41 eV/atom. The space group is P3m1 (156).

The structure in POSCAR format:
```
GdDy3Pb2N2
1.0
3.556 0.000 0.000
-1.778 3.079 0.000
0.000 0.000 15.676
Gd Dy Pb N
1 3 2 2
direct
0.000 0.000 0.000
0.000 0.000 0.667
0.667 0.333 0.168
0.667 0.333 0.501
0.000 0.000 0.334
0.667 0.333 0.833
0.333 0.667 0.086
0.333 0.667 0.584
```

=====

(12)
VASP calculation (PBE) on a geometry-optimized NaGdDy structure.

The total DFT energy (no corrections) comes out at -2.70 eV/atom. The space group is F-43m (216).

The structure in POSCAR format:
```
NaGdDy
1.0
7.527 0.000 0.000
0.000 7.527 0.000
0.000 0.000 7.527
Na Gd Dy
4 4 4
direct
0.000 0.000 0.000
0.000 0.500 0.500
0.500 0.000 0.500
0.500 0.500 0.000
0.250 0.250 0.250
0.250 0.750 0.750
0.750 0.250 0.750
0.750 0.750 0.250
0.250 0.250 0.750
0.250 0.750 0.250
0.750 0.250 0.250
0.750 0.750 0.750
```

=====

(13)
VASP calculation (PBE) on a geometry-optimized GdDyNb structure.

The formation energy comes out at 0.80 eV per atom. The space group is F-43m (216).

The structure in POSCAR format:
```
GdDyNb
1.0
7.170 0.000 0.000
0.000 7.170 0.000
0.000 0.000 7.170
Gd Dy Nb
4 4 4
direct
0.000 0.000 0.000
0.000 0.500 0.500
0.500 0.000 0.500
0.500 0.500 0.000
0.000 0.000 0.500
0.000 0.500 0.000
0.500 0.000 0.000
0.500 0.500 0.500
0.250 0.250 0.250
0.250 0.750 0.750
0.750 0.250 0.750
0.750 0.750 0.250
```

=====

(14)
VASP calculation (PBE) on a geometry-optimized GdDyNb2Si2 structure.

The total DFT energy (no corrections) comes out at -7.34 eV/atom. The space group is P4mm (99).

The structure in POSCAR format:
```
GdDyNb2Si2
1.0
4.013 0.000 0.000
0.000 4.013 0.000
0.000 0.000 7.816
Gd Dy Nb Si
1 1 2 2
direct
0.000 0.000 0.000
0.500 0.500 0.707
0.000 0.500 0.354
0.500 0.000 0.354
0.000 0.000 0.593
0.500 0.500 0.114
```

=====

(15)
VASP calculation (PBE) on a geometry-optimized Nd3GdDy2NiTe2 structure.

The total DFT energy (no corrections) comes out at -5.19 eV/atom. The space group is Amm2 (38).

The structure in POSCAR format:
```
Nd3GdDy2NiTe2
1.0
4.007 0.000 0.000
0.000 7.393 4.258
0.000 -7.393 4.258
Nd Gd Dy Ni Te
3 1 2 1 2
direct
0.000 0.000 0.000
0.000 0.186 0.593
0.000 0.593 0.186
0.500 0.357 0.357
0.500 0.593 0.829
0.500 0.829 0.593
0.000 0.596 0.596
0.500 0.260 0.926
0.500 0.926 0.260
```

=====

(16)
VASP calculation (PBE) on a geometry-optimized GdDyNi4 structure.

The formation energy comes out at -0.03 eV per atom. The value obtained for the relative energy among the computed polymorphs is 408 meV per atom. The space group is P6/mmm (191).

The structure in POSCAR format:
```
GdDyNi4
1.0
5.357 0.000 0.000
-2.679 4.639 0.000
0.000 0.000 8.069
Gd Dy Ni
2 2 8
direct
0.000 0.000 0.000
0.000 0.000 0.500
0.333 0.667 0.000
0.667 0.333 0.000
0.000 0.500 0.274
0.000 0.500 0.726
0.333 0.667 0.500
0.500 0.000 0.274
0.500 0.000 0.726
0.500 0.500 0.274
0.500 0.500 0.726
0.667 0.333 0.500
```

=====

(17)
VASP calculation (PBE) on a geometry-optimized Gd2DyNi9 structure.

The formation energy comes out at -0.40 eV per atom. The space group is R-3m (166).

The structure in POSCAR format:
```
Gd2DyNi9
1.0
2.480 1.432 8.133
-2.480 1.432 8.133
0.000 -2.864 8.133
Gd Dy Ni
2 1 9
direct
0.139 0.139 0.139
0.861 0.861 0.861
0.000 0.000 0.000
0.081 0.582 0.582
0.333 0.333 0.333
0.418 0.418 0.919
0.418 0.919 0.418
0.500 0.500 0.500
0.582 0.081 0.582
0.582 0.582 0.081
0.667 0.667 0.667
0.919 0.418 0.418
```

=====

(18)
VASP calculation (PBE) on a geometry-optimized GdDyNi2 structure.

The formation energy comes out at -0.44 eV per atom. The space group is Pmn2_1 (31).

The structure in POSCAR format:
```
GdDyNi2
1.0
4.183 0.000 0.000
0.000 7.042 0.000
0.000 0.000 5.416
Gd Dy Ni
2 2 4
direct
0.000 0.071 0.000
0.500 0.929 0.500
0.000 0.570 0.761
0.500 0.430 0.261
0.000 0.213 0.505
0.000 0.711 0.255
0.500 0.289 0.755
0.500 0.787 0.005
```

=====

(19)
VASP calculation (PBE) on a geometry-optimized Gd3DyNi4 structure.

The formation energy comes out at -0.43 eV per atom. The space group is Pm (6).

The structure in POSCAR format:
```
Gd3DyNi4
1.0
5.441 0.000 0.000
0.000 4.217 0.000
-0.014 0.000 7.069
Gd Dy Ni
3 1 4
direct
0.000 0.000 0.000
0.237 0.000 0.498
0.501 0.500 0.859
0.737 0.500 0.360
0.244 0.500 0.218
0.496 0.000 0.143
0.743 0.000 0.640
0.994 0.500 0.716
```

=====

(20)
VASP calculation (PBE) on a geometry-optimized GdDyNi2 structure.

The formation energy comes out at -0.44 eV per atom. The space group is P2_1/m (11).

The structure in POSCAR format:
```
GdDyNi2
1.0
5.427 0.000 0.000
0.000 4.192 0.000
-0.013 0.000 7.057
Gd Dy Ni
2 2 4
direct
0.131 0.250 0.180
0.869 0.750 0.820
0.370 0.250 0.679
0.630 0.750 0.321
0.125 0.750 0.462
0.375 0.750 0.962
0.625 0.250 0.038
0.875 0.250 0.538
```